An optimized crystal structure of KRuSeN2. Source: the Alexandria database, functional GGA-PBE.

Calculated values
The calculation puts the energy relative to the elements, uncorrected at 302.6 kJ per mole of atoms. The density of states at the Fermi level comes out at 12.31 states/eV/f.u. As for the distance to the lowest polymorph of the same formula: 2.526 eV/atom. As for the spin magnetization: 0.0005 μB per atom.

Cell and atoms, written as POSCAR:
```
KRuSeN2
1.0
4.115 0.000 0.000
0.000 4.115 0.000
0.000 0.000 5.602
K Ru Se N
1 1 1 2
direct
0.000 0.000 0.000 K
0.500 0.500 0.500 Ru
0.000 0.000 0.500 Se
0.000 0.500 0.000 N
0.500 0.000 0.000 N
```